First-principles (PBE) data for a geometry-optimized CeSm4Ge4 structure, as listed in Alexandria via LeMat-Bulk.

As for the magnetization: 0.91 μB/f.u. The crystal system is tetragonal. The value obtained for the energy relative to the elements is -606.4 meV per atom. The electronic total energy is -48.7 eV/f.u.

The space group is I4/m (No. 87) and the conventional cell measures 9.4243, 9.4243 and 5.9513 Å, with angles of 90.00, 90.00 and 90.00 degrees. The distinct sites, in fractional coordinates, are Ce at (0.0000, 0.0000, 0.0000), Sm at (0.0999, 0.6950, 0.5000) and Ge at (0.1012, 0.7074, 0.0000).


First-principles (PBE) data for a geometry-optimized Ce2Sm2Ge structure, as listed in Alexandria via LeMat-Bulk.

As for the magnetization: 2.55 μB/f.u. The crystal system is tetragonal. The value obtained for the energy relative to the elements is 252.4 meV per atom. The electronic total energy is -24.7 eV/f.u.

The space group is I4/mmm (No. 139) and the conventional cell measures 4.2294, 4.2294 and 17.7548 Å, with angles of 90.00, 90.00 and 90.00 degrees. The distinct sites, in fractional coordinates, are Ce at (0.0000, 0.0000, 0.0759), Sm at (0.0000, 0.5000, 0.2500) and Ge at (0.0000, 0.0000, 0.5000).


First-principles (PBE) data for a geometry-optimized Ce5SmGe5 structure, as listed in Alexandria via LeMat-Bulk.

As for the magnetization: 2.11 μB/f.u. The crystal system is monoclinic. The value obtained for the energy relative to the elements is -554.0 meV per atom. The electronic total energy is -63.6 eV/f.u.

The space group is C2/m (No. 12) and the conventional cell measures 13.2796, 5.9610 and 8.4034 Å, with angles of 90.00, 108.26 and 90.00 degrees. The distinct sites, in fractional coordinates, are Ce at (0.0000, 0.0000, 0.0000), Ce at (0.1634, 0.5000, 0.8336), Ce at (0.1672, 0.5000, 0.3348), Sm at (0.0000, 0.0000, 0.5000), Ge at (0.0000, 0.5000, 0.5000), Ge at (0.1681, 0.0000, 0.8398) and Ge at (0.1696, 0.0000, 0.3277).


First-principles (PBE) data for a geometry-optimized Ce3Sm3Ge4 structure, as listed in Alexandria via LeMat-Bulk.

As for the magnetization: 1.39 μB/f.u. The crystal system is orthorhombic. The value obtained for the energy relative to the elements is -675.4 meV per atom. The electronic total energy is -57.2 eV/f.u.

The space group is Amm2 (No. 38) and the conventional cell measures 4.1662, 11.1107 and 11.1047 Å, with angles of 90.00, 90.00 and 90.00 degrees. The distinct sites, in fractional coordinates, are Ce at (0.0000, 0.0000, 0.0000), Ce at (0.5000, 0.2474, 0.9211), Sm at (0.0000, 0.0000, 0.3380), Sm at (0.0000, 0.1670, 0.6695), Ge at (0.5000, 0.0000, 0.5387), Ge at (0.5000, 0.0000, 0.8004) and Ge at (0.5000, 0.1303, 0.1694).


First-principles (PBE) data for a geometry-optimized Ce3SmGe4 structure, as listed in Alexandria via LeMat-Bulk.

As for the magnetization: 1.88 μB/f.u. The crystal system is orthorhombic. The value obtained for the energy relative to the elements is -599.2 meV per atom. The electronic total energy is -45.8 eV/f.u.

The space group is Immm (No. 71) and the conventional cell measures 4.0457, 6.5530 and 16.0906 Å, with angles of 90.00, 90.00 and 90.00 degrees. The distinct sites, in fractional coordinates, are Ce at (0.0000, 0.0000, 0.0000), Ce at (0.0000, 0.5000, 0.1966), Sm at (0.0000, 0.0000, 0.5000) and Ge at (0.0000, 0.3080, 0.3688).


First-principles (PBE) data for a geometry-optimized CeSm2Ge3 structure, as listed in Alexandria via LeMat-Bulk.

As for the magnetization: 0.00 μB/f.u. The crystal system is orthorhombic. The value obtained for the energy relative to the elements is -657.3 meV per atom. The electronic total energy is -33.2 eV/f.u.

The space group is Immm (No. 71) and the conventional cell measures 4.2328, 6.0005 and 12.7285 Å, with angles of 90.00, 90.00 and 90.00 degrees. The distinct sites, in fractional coordinates, are Ce at (0.0000, 0.0000, 0.0000), Sm at (0.0000, 0.0000, 0.3312), Ge at (0.0000, 0.5000, 0.0000) and Ge at (0.0000, 0.5000, 0.3379).


First-principles (PBE) data for a geometry-optimized Ce2Sm5Ge4 structure, as listed in Alexandria via LeMat-Bulk.

As for the magnetization: 2.63 μB/f.u. The crystal system is monoclinic. The value obtained for the energy relative to the elements is -292.3 meV per atom. The electronic total energy is -57.1 eV/f.u.

The space group is C2/m (No. 12) and the conventional cell measures 25.7674, 3.5511 and 7.0257 Å, with angles of 90.00, 90.57 and 90.00 degrees. The distinct sites, in fractional coordinates, are Ce at (0.0932, 0.0000, 0.1962), Sm at (0.0000, 0.5000, 0.5000), Sm at (0.1320, 0.0000, 0.6870), Sm at (0.2335, 0.0000, 0.2550), Ge at (0.0246, 0.0000, 0.8449) and Ge at (0.1732, 0.5000, 0.9938).


First-principles (PBE) data for a geometry-optimized CeSmGe structure, as listed in Alexandria via LeMat-Bulk.

As for the magnetization: 1.04 μB/f.u. The crystal system is cubic. The value obtained for the energy relative to the elements is -416.6 meV per atom. The electronic total energy is -16.5 eV/f.u.

The space group is F-43m (No. 216) and the conventional cell measures 7.0590, 7.0590 and 7.0590 Å, with angles of 90.00, 90.00 and 90.00 degrees. The distinct sites, in fractional coordinates, are Ce at (0.0000, 0.0000, 0.0000), Sm at (0.0000, 0.0000, 0.5000) and Ge at (0.2500, 0.2500, 0.7500).